Record 1
VASP calculation (PBE-GGA) on Li3PuPd2 after structural relaxation.

Cell lengths 7.075, 7.075, 8.611 Å; angles 118.48, 118.48, 34.21 degrees
Positions (direct):
Li 0.058 0.058 0.395
Li 0.278 0.278 0.447
Li 0.419 0.419 0.312
Li 0.581 0.581 0.688
Li 0.722 0.722 0.553
Li 0.942 0.942 0.605
Pu 0.133 0.133 0.015
Pu 0.867 0.867 0.985
Pd 0.209 0.209 0.743
Pd 0.436 0.436 0.808
Pd 0.564 0.564 0.192
Pd 0.791 0.791 0.257

Values from the calculation:
Space group   C2/m (12)
Crystal system   monoclinic
Density of states at the Fermi level   13.7 states/eV/f.u.
E_form   -31.1 kJ per mole of atoms

Record 2
VASP calculation (PBE-GGA) on K3Tb3GaO8 after structural relaxation.

Cell lengths 7.413, 7.413, 7.413 Å; angles 54.79, 54.79, 54.79 degrees
Positions (direct):
K 0.000 0.500 0.500
K 0.500 0.000 0.500
K 0.500 0.500 0.000
Tb 0.000 0.000 0.500
Tb 0.000 0.500 0.000
Tb 0.500 0.000 0.000
Ga 0.500 0.500 0.500
O 0.228 0.228 0.228
O 0.252 0.710 0.710
O 0.290 0.290 0.748
O 0.290 0.748 0.290
O 0.710 0.252 0.710
O 0.710 0.710 0.252
O 0.748 0.290 0.290
O 0.772 0.772 0.772

Values from the calculation:
Space group   R-3m (166)
Raw formation energy   -2401.5 meV/atom
Crystal system   trigonal
Density of states at the Fermi level   13.7 states/eV/f.u.